First-principles (GGA-PBE) data for an optimized crystal structure of VCr2Re, as listed in Alexandria.

Unit cell a=5.2032 b=5.1036 c=5.1036 alpha=108.86 beta=109.90 gamma=109.90
Fractional positions:
V 0.2500 0.0000 0.0000
V 0.7500 0.0000 0.0000
Cr 0.7500 0.5000 0.0000
Cr 0.2500 0.5000 0.0000
Cr 0.2500 0.0000 0.5000
Cr 0.7500 0.0000 0.5000
Re 0.7500 0.5000 0.5000
Re 0.2500 0.5000 0.5000

The space group is C2/m (12). The total energy comes out at -10.2985 eV/atom. The formation energy is -0.095 eV per atom.